# Nd3Dy2In4, optimized geometry, DFT GGA-PBE
# Final energy = -4.07 eV per atom
# Energy above the most stable polymorph in this dataset = 0.1723 eV per atom
# ρ = 7.20 Mg/m³
# ΔH_f (0 K) = -238 meV/atom
data_Nd3Dy2In4
_chemical_formula_sum 'Nd6 Dy4 In8'
_cell_length_a 7.213
_cell_length_b 10.056
_cell_length_c 8.534
_cell_angle_alpha 90.00
_cell_angle_beta 115.00
_cell_angle_gamma 90.00
_space_group_name_H-M_alt 'P 1'
_space_group_IT_number 1
loop_
_space_group_symop_operation_xyz
'x,y,z'
loop_
_atom_site_label
_atom_site_fract_x
_atom_site_fract_y
_atom_site_fract_z
_atom_site_occupancy
Nd1 0.524 0.750 0.547 1
Nd2 0.500 0.500 0.000 1
Nd3 0.024 0.750 0.547 1
Nd4 0.000 0.000 0.000 1
Nd5 0.476 0.250 0.453 1
Nd6 0.976 0.250 0.453 1
Dy1 0.396 0.035 0.792 1
Dy2 0.104 0.535 0.208 1
Dy3 0.896 0.465 0.792 1
Dy4 0.604 0.965 0.208 1
In1 0.758 0.250 0.015 1
In2 0.197 0.985 0.394 1
In3 0.697 0.515 0.394 1
In4 0.303 0.485 0.606 1
In5 0.742 0.750 0.985 1
In6 0.258 0.250 0.015 1
In7 0.242 0.750 0.985 1
In8 0.803 0.015 0.606 1